The following is a DFT calculation (PBE-GGA) of a relaxed Ba2GeRuPb crystal.

Structure (CIF):
```
data_Ba2GeRuPb
_chemical_formula_sum 'Ba2 Ge1 Ru1 Pb1'
_cell_length_a 6.347
_cell_length_b 6.347
_cell_length_c 5.217
_cell_angle_alpha 90.00
_cell_angle_beta 90.00
_cell_angle_gamma 90.00
_space_group_name_H-M_alt 'P 4/m m m'
_space_group_IT_number 123
_space_group_name_Hall '-P 4 2'
loop_
_atom_site_label
_atom_site_fract_x
_atom_site_fract_y
_atom_site_fract_z
Ba1 0.000 0.500 0.000
Ge1 0.000 0.000 0.000
Ru1 0.500 0.500 0.500
Pb1 0.000 0.000 0.500
```

Output
The distance to the lowest polymorph of the same formula comes out at 48 meV per atom. The final energy is -3.574 eV per atom. The density of states at the Fermi level comes out at 0.5963 states/eV/atom. As for the formation enthalpy at 0 K: 0.716 eV per atom. The calculated density is 5.18 Mg/m³.